First-principles (GGA-PBE) data for a relaxed structure of YHo3Tm7, as listed in the Alexandria database.

a = 6.887 Å, b = 5.441 Å, c = 9.787 Å
α = 90.00°, β = 109.77°, γ = 90.00°
Space group P2/m (No. 10)
Inequivalent atoms, fractional coordinates:
Y: 0.000 0.000 0.000
Ho: 0.278 0.500 0.497
Ho: 0.500 0.000 0.000
Tm: 0.000 0.000 0.500
Tm: 0.149 0.500 0.791
Tm: 0.321 0.500 0.141
Tm: 0.423 0.000 0.331

Properties
For the density of states at the Fermi level, the calculation gives 19.6 states/eV/f.u. The value obtained for the formation energy is 162 meV per atom. The value obtained for the energy above the lowest structure with this stoichiometry is 0.0000 eV/atom. The volume is 31.374 Å³ per atom. For the raw total energy, the calculation gives -49.72 eV for the cell shown.